An optimized crystal structure of Y2ScHg. Source: Alexandria, functional PBE.

## Properties
**Size of the total moment**: 1.03 μB/f.u.
**Theoretical density**: 6.7 g/cm³
**Formation energy**: -0.02 eV/atom

```
Y2ScHg
1.0
0.0000 3.7451 3.7451
3.7451 0.0000 3.7451
3.7451 3.7451 0.0000
Y Sc Hg
2 1 1
Direct
0.0000 0.0000 0.0000
0.2500 0.2500 0.2500
0.7500 0.7500 0.7500
0.5000 0.5000 0.5000
```